[1]
Material: TaMoPb2
Method: DFT, meta-GGA SCAN
State: single point on PBEsol structure

The calculation puts the relative energy among the computed polymorphs at 0.0 meV per atom. For the energy relative to the elements, the calculation gives 788 meV/atom. The calculated total energy is -62.469 eV per atom.

The space group is R-3m (No. 166, hexagonal axes) and the conventional cell measures 3.1714, 3.1714 and 27.5983 Å, with angles of 90.00, 90.00 and 120.00 degrees. The inequivalent atoms are Ta at (0.0000, 0.0000, 0.0000), Mo at (0.0000, 0.0000, 0.5000) and Pb at (0.0000, 0.0000, 0.2469).

=====

[2]
Material: TcMoPb2
Method: DFT, meta-GGA SCAN
State: single point on PBEsol structure

For the energy relative to the elements, the calculation gives 438 meV/atom. The calculated total energy is -54.939 eV per atom.

The space group is R3m (No. 160, hexagonal axes) and the conventional cell measures 3.1427, 3.1427 and 30.6887 Å, with angles of 90.00, 90.00 and 120.00 degrees. The inequivalent atoms are Tc at (0.0000, 0.0000, 0.0000), Mo at (0.0000, 0.0000, 0.2788), Pb at (0.0000, 0.0000, 0.5285) and Pb at (0.0000, 0.0000, 0.7490).

=====

[3]
Material: TcMoPb
Method: DFT, meta-GGA SCAN
State: single point on PBEsol structure

The calculation puts the relative energy among the computed polymorphs at 90.5 meV per atom. For the energy relative to the elements, the calculation gives 829 meV/atom. The calculated total energy is -47.746 eV per atom.

The space group is F-43m (No. 216) and the conventional cell measures 6.2102, 6.2102 and 6.2102 Å, with angles of 90.00, 90.00 and 90.00 degrees. The inequivalent atoms are Tc at (0.0000, 0.0000, 0.0000), Mo at (0.2500, 0.2500, 0.7500) and Pb at (0.0000, 0.0000, 0.5000).

=====

- What is the formula in the second record?
  TcMoPb2